[1]
A plane-wave DFT calculation with PBE was carried out for TbScP2Rh5 after structural relaxation.

Summary:
The energy relative to the elements is -638 kJ/mol of formula units.

```
TbScP2Rh5
1.0
4.0441 0.0000 0.0000
0.0000 4.0441 0.0000
0.0000 0.0000 10.1956
Rh P Sc Tb
5 2 1 1
direct
0.5000 0.0000 0.8197
0.0000 0.5000 0.8197
0.5000 0.5000 0.5000
0.0000 0.5000 0.1803
0.5000 0.0000 0.1803
0.5000 0.5000 0.2783
0.5000 0.5000 0.7217
0.0000 0.0000 0.0000
0.0000 0.0000 0.5000
```



[2]
A plane-wave DFT calculation with PBE was carried out for ScUP2Rh5 after structural relaxation.

Summary:
The energy relative to the elements is -505 kJ/mol of formula units.

```
ScUP2Rh5
1.0
4.0119 0.0000 0.0000
0.0000 4.0119 0.0000
0.0000 0.0000 10.3561
P Rh Sc U
2 5 1 1
direct
0.5000 0.5000 0.7207
0.5000 0.5000 0.2793
0.5000 0.0000 0.1813
0.5000 0.5000 0.5000
0.0000 0.5000 0.1813
0.5000 0.0000 0.8187
0.0000 0.5000 0.8187
0.0000 0.0000 0.0000
0.0000 0.0000 0.5000
```



[3]
A plane-wave DFT calculation with PBE was carried out for Y2ScP3Rh12 after structural relaxation.

Summary:
The energy relative to the elements is -710 kJ/mol of formula units.

```
Y2ScP3Rh12
1.0
6.4610 -1.3724 -0.9735
1.9974 6.2959 -0.9735
1.9974 1.1627 6.2638
Rh Y P Sc
12 2 3 1
direct
0.6693 0.1764 0.1764
0.8236 0.8236 0.3307
0.3690 0.9080 0.3690
0.8236 0.3307 0.8236
0.1764 0.1764 0.6693
0.3307 0.8236 0.8236
0.3690 0.3690 0.9080
0.0920 0.6310 0.6310
0.1764 0.6693 0.1764
0.6310 0.0920 0.6310
0.9080 0.3690 0.3690
0.6310 0.6310 0.0920
0.6278 0.6278 0.6278
0.3722 0.3722 0.3722
0.5000 0.0000 0.0000
0.0000 0.5000 0.0000
0.0000 0.0000 0.5000
0.0000 0.0000 0.0000
```



[4]
A plane-wave DFT calculation with PBE was carried out for YSc2PRh after structural relaxation.

Summary:
The energy relative to the elements is 525 kJ/mol of formula units.

```
YSc2PRh
1.0
5.2744 0.0000 0.0000
0.0000 5.2744 0.0000
0.0000 0.0000 4.6958
P Rh Sc Y
1 1 2 1
direct
0.5000 0.5000 0.5000
0.0000 0.0000 0.5000
0.0000 0.5000 0.0000
0.5000 0.0000 0.0000
0.0000 0.0000 0.0000
```



[5]
A plane-wave DFT calculation with PBE was carried out for P2RhSe after structural relaxation.

Summary:
Its uncorrected formation energy is -0.36 eV per formula unit.

```
P2RhSe
1.0
-2.4305 -0.4756 -2.1838
-0.2445 -4.5758 1.2686
-2.9816 -1.0592 3.5490
P Se Rh
2 1 1
direct
0.0000 0.0465 0.0465
0.5000 0.2466 0.2466
0.5000 0.7121 0.7121
0.0000 0.4948 0.4948
```



[6]
A plane-wave DFT calculation with PBE was carried out for P2RhSe after structural relaxation.

Summary:
Its uncorrected formation energy is 0.94 eV per formula unit.

```
P2RhSe
1.0
-0.4173 -0.1001 -5.7740
2.8872 -3.6452 -3.4496
-3.7727 1.0601 4.2622
Rh Se P
1 1 2
direct
0.2500 0.7500 0.5000
0.7500 0.2500 0.5000
0.0537 0.0537 0.0000
0.4463 0.4463 0.0000
```



[7]
A plane-wave DFT calculation with PBE was carried out for PRhSe2 after structural relaxation.

Summary:
Its uncorrected formation energy is 0.36 eV per formula unit.

```
PRhSe2
1.0
6.3034 -1.8179 0.0003
6.3034 1.8179 0.0003
5.7790 0.0000 3.1050
P Se Rh
1 2 1
direct
0.5000 0.5000 0.5000
0.7470 0.7470 0.7470
0.2530 0.2530 0.2530
0.0000 0.0000 0.0000
```



[8]
A plane-wave DFT calculation with PBE was carried out for P2RhSe after structural relaxation.

Summary:
Its uncorrected formation energy is 1.26 eV per formula unit.

```
P2RhSe
1.0
-2.3924 -0.1758 -2.1837
0.8353 -2.4586 1.9444
-5.7412 2.8428 6.0612
P Se Rh
2 1 1
direct
0.5000 0.5000 0.2547
0.0000 0.0000 0.0836
0.5000 0.5000 0.6883
0.0000 0.0000 0.4734
```



It is found that the E_tot values, taken in the order of the records, are -65.15, -70.43, -131.07, -26.44, -22.01, -20.71, -19.37, -20.40 eV/f.u..